No. 1
DFT (PBE-GGA) results for a relaxed structure of InRu2Se.

It has space group Pmm2 (No. 25), with a = 3.085 Å, b = 4.683 Å, c = 4.802 Å, α = 90.00°, β = 90.00° and γ = 90.00°. The asymmetric unit holds In at (0.000, 0.000, 0.000), Ru at (0.000, 0.500, 0.678), Ru at (0.500, 0.000, 0.515) and Se at (0.500, 0.500, 0.297).

Its formation energy without anion corrections is 0.14 eV per atom. Its energy above the most stable polymorph in this dataset is 0.0 meV/atom. As for the total energy: -6.06 eV per atom.

=====

No. 2
DFT (PBE-GGA) results for a relaxed structure of Ce5ThBi3.

It has space group P6_3/mcm (No. 193), with a = 9.6725 Å, b = 9.6725 Å, c = 6.5892 Å, α = 90.00°, β = 90.00° and γ = 120.00°. The asymmetric unit holds Ce at (0.0000, 0.3324, 0.2500), Ce at (0.3333, 0.6667, 0.0000), Th at (0.0000, 0.0000, 0.0000) and Bi at (0.0000, 0.3343, 0.7500).

The value obtained for the formation enthalpy at 0 K is -4.1 eV/f.u. As for the total energy: -5.87 eV per atom.

=====

No. 3
DFT (PBE-GGA) results for a relaxed structure of CeDy2Te4.

It has space group Cmcm (No. 63), with a = 4.333 Å, b = 14.348 Å, c = 14.973 Å, α = 90.00°, β = 90.00° and γ = 90.00°. The asymmetric unit holds Ce at (0.000, 0.121, 0.250), Dy at (0.000, 0.368, 0.066), Te at (0.000, 0.000, 0.000), Te at (0.000, 0.274, 0.621) and Te at (0.000, 0.456, 0.250).

Its formation energy without anion corrections is -1.37 eV per atom. Its energy above the most stable polymorph in this dataset is 0.0 meV/atom. As for the total energy: -5.33 eV per atom.